! PBE Ce2InBi, relaxed; values from VASP
&SYSTEM
  ibrav = 0, nat = 4, ntyp = 3
/
ATOMIC_SPECIES
Ce 140.12 Ce.upf
In 114.82 In.upf
Bi 208.98 Bi.upf
CELL_PARAMETERS angstrom
0.000 3.902 3.902
3.902 0.000 3.902
3.902 3.902 0.000
ATOMIC_POSITIONS angstrom
Ce 1.951 1.951 1.951
Ce 5.853 5.853 5.853
In 0.000 0.000 0.000
Bi 3.902 3.902 3.902
! **VASP energy**: -20.12 eV for the cell shown
! **V**: 118.9 Å³ per cell
! **Calculated formation energy**: -0.4074 eV/atom
! **ΔE to the lowest computed polymorph**: 0.082 eV/atom
! **Size of the total moment**: 2.97 μB/f.u.